Entry from Alexandria via LeMat-Bulk: a relaxed TbPr2NdBi4 crystal (PBE).

Cell lengths 4.600, 7.961, 7.962 Å; angles 70.52, 90.00, 90.00 degrees
Positions (direct):
Tb 0.000 0.500 0.500
Pr 0.000 0.000 0.000
Pr 0.500 0.000 0.500
Nd 0.500 0.500 0.000
Bi 0.000 0.745 0.748
Bi 0.000 0.255 0.252
Bi 0.500 0.743 0.256
Bi 0.500 0.257 0.744

## Properties
The calculation puts the formation energy at -0.934 eV/atom. As for the space group: No. 10.



Entry from Alexandria via LeMat-Bulk: a relaxed Tb3Pr2NdBi6 crystal (PBE).

Cell lengths 4.565, 9.119, 10.196 Å; angles 102.81, 102.94, 90.00 degrees
Positions (direct):
Tb 0.500 0.500 0.000
Tb 0.833 0.167 0.666
Tb 0.167 0.833 0.334
Pr 0.834 0.667 0.667
Pr 0.166 0.333 0.333
Nd 0.500 0.000 0.000
Bi 0.332 0.922 0.664
Bi 0.665 0.589 0.329
Bi 0.668 0.078 0.336
Bi 0.998 0.254 0.995
Bi 0.002 0.746 0.005
Bi 0.335 0.411 0.671

## Properties
The calculation puts the formation energy at -0.916 eV/atom. As for the space group: No. 12.



Entry from Alexandria via LeMat-Bulk: a relaxed Tb3PrNd2Bi6 crystal (PBE).

Cell lengths 4.559, 9.109, 10.184 Å; angles 102.81, 102.93, 90.00 degrees
Positions (direct):
Tb 0.500 0.500 0.000
Tb 0.834 0.167 0.667
Tb 0.166 0.833 0.333
Pr 0.500 0.000 0.000
Nd 0.833 0.667 0.666
Nd 0.167 0.333 0.334
Bi 0.331 0.921 0.662
Bi 0.665 0.587 0.330
Bi 0.669 0.079 0.338
Bi 0.998 0.256 0.997
Bi 0.002 0.744 0.003
Bi 0.335 0.413 0.670

## Properties
The calculation puts the formation energy at -0.915 eV/atom. As for the space group: No. 12.



Entry from Alexandria via LeMat-Bulk: a relaxed Tb2PrNdBi4 crystal (PBE).

Cell lengths 4.563, 7.892, 7.900 Å; angles 70.51, 90.00, 90.00 degrees
Positions (direct):
Tb 0.000 0.000 0.000
Tb 0.500 0.000 0.500
Pr 0.500 0.500 0.000
Nd 0.000 0.500 0.500
Bi 0.000 0.759 0.746
Bi 0.000 0.241 0.254
Bi 0.500 0.758 0.248
Bi 0.500 0.242 0.752

## Properties
The calculation puts the formation energy at -0.915 eV/atom. As for the space group: No. 10.



Entry from Alexandria via LeMat-Bulk: a relaxed TbPrNd2Bi5 crystal (PBE).

Cell lengths 5.600, 5.600, 12.010 Å; angles 90.00, 90.00, 90.00 degrees
Positions (direct):
Tb 0.000 0.000 0.000
Pr 0.000 0.000 0.500
Nd 0.500 0.500 0.275
Nd 0.500 0.500 0.725
Bi 0.000 0.500 0.500
Bi 0.500 0.000 0.500
Bi 0.000 0.000 0.757
Bi 0.000 0.000 0.243
Bi 0.500 0.500 0.000

## Properties
The calculation puts the formation energy at 0.006 eV/atom. As for the space group: No. 123.



Entry from Alexandria via LeMat-Bulk: a relaxed TbPr2NdBi5 crystal (PBE).

Cell lengths 5.575, 5.575, 12.017 Å; angles 90.00, 90.00, 90.00 degrees
Positions (direct):
Tb 0.000 0.000 0.000
Pr 0.500 0.500 0.276
Pr 0.500 0.500 0.724
Nd 0.000 0.000 0.500
Bi 0.000 0.500 0.500
Bi 0.500 0.000 0.500
Bi 0.000 0.000 0.757
Bi 0.000 0.000 0.243
Bi 0.500 0.500 0.000

## Properties
The calculation puts the formation energy at -0.050 eV/atom. As for the space group: No. 123.



Entry from Alexandria via LeMat-Bulk: a relaxed PrNdBiTe crystal (PBE).

Cell lengths 5.589, 5.589, 5.589 Å; angles 60.00, 60.00, 60.00 degrees
Positions (direct):
Pr 0.500 0.500 0.500
Te 0.250 0.250 0.250
Nd 0.000 0.000 0.000
Bi 0.750 0.750 0.750

## Properties
As for the space group: No. 216. As for the uncorrected formation energy: -1.01 eV/atom.



Entry from Alexandria via LeMat-Bulk: a relaxed PrNdTh2Bi4 crystal (PBE).

Cell lengths 6.520, 6.520, 7.982 Å; angles 114.11, 114.11, 90.00 degrees
Positions (direct):
Pr 0.750 0.250 0.500
Nd 0.500 0.500 0.000
Th 0.250 0.750 0.500
Th 0.000 0.000 0.000
Bi 0.001 0.501 0.003
Bi 0.499 0.999 0.997
Bi 0.751 0.751 0.501
Bi 0.249 0.249 0.499

## Properties
The calculation puts the formation energy at -0.774 eV/atom. As for the space group: No. 119.



Entry from Alexandria via LeMat-Bulk: a relaxed Pr2NdThBi4 crystal (PBE).

Cell lengths 4.628, 7.998, 8.002 Å; angles 109.46, 90.00, 90.00 degrees
Positions (direct):
Pr 0.500 0.000 0.500
Pr 0.000 0.500 0.500
Nd 0.000 0.000 0.000
Th 0.500 0.500 0.000
Bi 0.500 0.250 0.247
Bi 0.500 0.750 0.753
Bi 0.000 0.252 0.753
Bi 0.000 0.748 0.247

## Properties
The calculation puts the formation energy at -0.878 eV/atom. As for the space group: No. 10.



Entry from Alexandria via LeMat-Bulk: a relaxed Pr2NdThBi5 crystal (PBE).

Cell lengths 5.733, 5.733, 12.127 Å; angles 90.00, 90.00, 90.00 degrees
Positions (direct):
Pr 0.500 0.500 0.275
Pr 0.500 0.500 0.725
Nd 0.000 0.000 0.000
Th 0.000 0.000 0.500
Bi 0.000 0.500 0.500
Bi 0.500 0.000 0.500
Bi 0.000 0.000 0.754
Bi 0.000 0.000 0.246
Bi 0.500 0.500 0.000

## Properties
The calculation puts the formation energy at -0.003 eV/atom. As for the space group: No. 123.



Entry from Alexandria via LeMat-Bulk: a relaxed PrNd2Th3Bi6 crystal (PBE).

Cell lengths 4.610, 9.206, 10.311 Å; angles 102.92, 102.92, 90.00 degrees
Positions (direct):
Pr 0.500 0.000 0.000
Nd 0.833 0.667 0.667
Nd 0.167 0.333 0.333
Th 0.500 0.500 0.000
Th 0.834 0.167 0.667
Th 0.166 0.833 0.333
Bi 0.333 0.917 0.665
Bi 0.667 0.584 0.333
Bi 0.667 0.083 0.335
Bi 0.000 0.252 0.000
Bi 0.000 0.748 0.000
Bi 0.333 0.416 0.667

## Properties
The calculation puts the formation energy at -0.769 eV/atom. As for the space group: No. 12.



Entry from Alexandria via LeMat-Bulk: a relaxed Pr3NdTh2Bi6 crystal (PBE).

Cell lengths 4.624, 9.241, 10.336 Å; angles 102.98, 102.92, 90.00 degrees
Positions (direct):
Pr 0.500 0.500 0.000
Pr 0.834 0.166 0.669
Pr 0.166 0.834 0.331
Nd 0.500 0.000 0.000
Th 0.835 0.669 0.669
Th 0.165 0.331 0.331
Bi 0.334 0.915 0.667
Bi 0.668 0.581 0.336
Bi 0.666 0.085 0.333
Bi 0.001 0.249 0.002
Bi 0.999 0.751 0.998
Bi 0.332 0.419 0.664

## Properties
The calculation puts the formation energy at -0.841 eV/atom. As for the space group: No. 12.



Repeat the twelfth record exactly.
Entry from Alexandria via LeMat-Bulk: a relaxed Pr3NdTh2Bi6 crystal (PBE).

Cell lengths 4.624, 9.241, 10.336 Å; angles 102.98, 102.92, 90.00 degrees
Positions (direct):
Pr 0.500 0.500 0.000
Pr 0.834 0.166 0.669
Pr 0.166 0.834 0.331
Nd 0.500 0.000 0.000
Th 0.835 0.669 0.669
Th 0.165 0.331 0.331
Bi 0.334 0.915 0.667
Bi 0.668 0.581 0.336
Bi 0.666 0.085 0.333
Bi 0.001 0.249 0.002
Bi 0.999 0.751 0.998
Bi 0.332 0.419 0.664

## Properties
The calculation puts the formation energy at -0.841 eV/atom. As for the space group: No. 12.